NdYBi: optimized geometry, GGA-PBE.

energy of formation from the pure elements: 0.119 eV/atom
crystal system: tetragonal
density: 6.9 g/cm3

Cell: 3.4139 3.4139 18.3011 Å, 90.00 90.00 90.00°
Space group I4mm (No. 107)
Inequivalent atoms, fractional coordinates:
Nd1 0.0000 0.0000 0.0000
Y1 0.0000 0.0000 0.8040
Bi1 0.0000 0.0000 0.6314

=====

ScZn11Rh: optimized geometry, GGA-PBE.

energy of formation from the pure elements: -0.207 eV/atom
crystal system: monoclinic
density: 7.2 g/cm3

Cell: 5.1647 12.5912 6.6073 Å, 90.00 111.29 90.00°
Space group C2/m (No. 12)
Inequivalent atoms, fractional coordinates:
Sc1 0.0000 0.0000 0.0000
Zn1 0.0000 0.5000 0.5000
Zn2 0.1069 0.3935 0.2113
Zn3 0.1597 0.1723 0.3508
Zn4 0.2500 0.2500 0.0000
Rh1 0.0000 0.0000 0.5000

=====

ReC2: optimized geometry, GGA-PBE.

energy of formation from the pure elements: 1.427 eV/atom
crystal system: orthorhombic
density: 11.5 g/cm3

Cell: 2.8248 15.3112 2.8154 Å, 90.00 90.00 90.00°
Space group Cmcm (No. 63)
Inequivalent atoms, fractional coordinates:
Re1 0.0000 0.1433 0.2500
C1 0.0000 0.2501 0.7500
C2 0.0000 0.4130 0.2500

=====

OsO2: optimized geometry, GGA-PBE.

formation energy from raw total energies: -873 meV per atom
crystal system: tetragonal
density: 11.2 g/cm3

Cell: 4.5238 4.5238 3.2156 Å, 90.00 90.00 90.00°
Space group P4_2/mnm (No. 136)
Inequivalent atoms, fractional coordinates:
Os1 0.0000 0.0000 0.0000
O1 0.1917 0.1917 0.5000